[1]
Density functional theory data (PBE) for an optimized crystal structure of ErZrPb.

**Space group**: P4/nmm (129)
**N(E_F)**: 4.2 states/eV/cell
**Energy above the most stable polymorph in this dataset**: 0 meV per atom
**VASP energy**: -6.00 eV/atom

Cell and atoms, written as CIF:
```
data_ErZrPb
_cell_length_a 4.3981
_cell_length_b 4.3981
_cell_length_c 8.2543
_cell_angle_alpha 90.00
_cell_angle_beta 90.00
_cell_angle_gamma 90.00
_symmetry_space_group_name_H-M 'P 1'
_symmetry_Int_Tables_number 1
loop_
_symmetry_equiv_pos_as_xyz
'x,y,z'
loop_
_atom_site_label
_atom_site_type_symbol
_atom_site_fract_x
_atom_site_fract_y
_atom_site_fract_z
_atom_site_occupancy
Er1 Er 0.2500 0.2500 0.1657 1
Er2 Er 0.7500 0.7500 0.8343 1
Zr1 Zr 0.2500 0.7500 0.5000 1
Zr2 Zr 0.7500 0.2500 0.5000 1
Pb1 Pb 0.2500 0.2500 0.7762 1
Pb2 Pb 0.7500 0.7500 0.2238 1
```


[2]
Density functional theory data (PBE) for an optimized crystal structure of As2SeBr.

**Space group**: Imm2 (44)
**N(E_F)**: 1.4 states/eV/cell
**ΔE_f (raw)**: 0.080 eV per atom
**Energy above the most stable polymorph in this dataset**: 122 meV per atom
**VASP energy**: -3.53 eV/atom

Cell and atoms, written as CIF:
```
data_As2SeBr
_cell_length_a 7.3807
_cell_length_b 7.3807
_cell_length_c 7.3807
_cell_angle_alpha 150.67
_cell_angle_beta 147.52
_cell_angle_gamma 44.33
_symmetry_space_group_name_H-M 'P 1'
_symmetry_Int_Tables_number 1
loop_
_symmetry_equiv_pos_as_xyz
'x,y,z'
loop_
_atom_site_label
_atom_site_type_symbol
_atom_site_fract_x
_atom_site_fract_y
_atom_site_fract_z
_atom_site_occupancy
As1 As 0.0000 0.0000 0.0000 1
As2 As 0.8606 0.3606 0.5000 1
Se1 Se 0.4919 0.4919 0.0000 1
Br1 Br 0.2537 0.7537 0.5000 1
```


[3]
Density functional theory data (PBE) for an optimized crystal structure of LiMg2Au2.

**Space group**: P-6m2 (187)
**N(E_F)**: 3.7 states/eV/cell
**Energy above the most stable polymorph in this dataset**: 124 meV per atom
**VASP energy**: -2.72 eV/atom

Cell and atoms, written as CIF:
```
data_LiMg2Au2
_cell_length_a 4.3947
_cell_length_b 4.3947
_cell_length_c 5.6121
_cell_angle_alpha 90.00
_cell_angle_beta 90.00
_cell_angle_gamma 120.00
_symmetry_space_group_name_H-M 'P 1'
_symmetry_Int_Tables_number 1
loop_
_symmetry_equiv_pos_as_xyz
'x,y,z'
loop_
_atom_site_label
_atom_site_type_symbol
_atom_site_fract_x
_atom_site_fract_y
_atom_site_fract_z
_atom_site_occupancy
Li1 Li 0.0000 0.0000 0.0000 1
Mg1 Mg 0.0000 0.0000 0.5000 1
Mg2 Mg 0.3333 0.6667 0.0000 1
Au1 Au 0.6667 0.3333 0.2499 1
Au2 Au 0.6667 0.3333 0.7501 1
```


[4]
Density functional theory data (PBE) for an optimized crystal structure of Cs2BaRuCl6.

**Space group**: Fm-3m (225)
**N(E_F)**: 0.0 states/eV/cell
**ΔE_f (raw)**: -1.590 eV per atom
**VASP energy**: -3.99 eV/atom

Cell and atoms, written as CIF:
```
data_Cs2BaRuCl6
_cell_length_a 7.6753
_cell_length_b 7.6753
_cell_length_c 7.6753
_cell_angle_alpha 60.00
_cell_angle_beta 60.00
_cell_angle_gamma 60.00
_symmetry_space_group_name_H-M 'P 1'
_symmetry_Int_Tables_number 1
loop_
_symmetry_equiv_pos_as_xyz
'x,y,z'
loop_
_atom_site_label
_atom_site_type_symbol
_atom_site_fract_x
_atom_site_fract_y
_atom_site_fract_z
_atom_site_occupancy
Cs1 Cs 0.2500 0.2500 0.2500 1
Cs2 Cs 0.7500 0.7500 0.7500 1
Ba1 Ba 0.0000 0.0000 0.0000 1
Ru1 Ru 0.5000 0.5000 0.5000 1
Cl1 Cl 0.2767 0.2767 0.7233 1
Cl2 Cl 0.2767 0.7233 0.2767 1
Cl3 Cl 0.2767 0.7233 0.7233 1
Cl4 Cl 0.7233 0.2767 0.2767 1
Cl5 Cl 0.7233 0.2767 0.7233 1
Cl6 Cl 0.7233 0.7233 0.2767 1
```


- What is the formula in the fourth record?
  Cs2BaRuCl6


- Which of these has the lowest VASP energy?
  ErZrPb